Entry 1:
## Tb6Ho5Tl (PBE)

Data for crystalline Tb6Ho5Tl at its relaxed geometry.

a = 4.946 Å, b = 9.907 Å, c = 14.997 Å
α = 90.00°, β = 90.00°, γ = 90.00°
Space group Immm (No. 71)
One atom of each set of equivalent atoms:
1 Tb 0.000 0.246 0.000
2 Tb 0.000 0.253 0.333
3 Ho 0.000 0.000 0.168
4 Ho 0.000 0.000 0.500
5 Ho 0.000 0.500 0.164
6 Tl 0.000 0.500 0.500

Properties
N(E_F): 33.282 states/eV/cell
relative energy among the computed polymorphs: 0.0000 eV/atom
ΔH_f (0 K): -30 meV/atom
size of the total moment: 0.00 μB/f.u.

=====

Entry 2:
## U2Tc4Ge2C (PBE)

Data for crystalline U2Tc4Ge2C at its relaxed geometry.

a = 5.985 Å, b = 5.985 Å, c = 7.954 Å
α = 90.00°, β = 90.00°, γ = 90.00°
Space group I4/mmm (No. 139)
One atom of each set of equivalent atoms:
1 U 0.000 0.000 0.223
2 Tc 0.247 0.247 0.000
3 Ge 0.000 0.500 0.250
4 C 0.000 0.000 0.500

Properties
N(E_F): 15.620 states/eV/cell
ΔH_f (0 K): -61 meV/atom
size of the total moment: 0.00 μB/f.u.

=====

Entry 3:
## AsPbSe2 (PBE)

Data for crystalline AsPbSe2 at its relaxed geometry.

a = 4.1985 Å, b = 4.1985 Å, c = 23.2978 Å
α = 90.00°, β = 90.00°, γ = 120.00°
Space group R3m (No. 160, hexagonal axes)
One atom of each set of equivalent atoms:
1 As 0.0000 0.0000 0.0000
2 Pb 0.0000 0.0000 0.7674
3 Se 0.0000 0.0000 0.2922
4 Se 0.0000 0.0000 0.4976

Properties
N(E_F): 6.233 states/eV/cell
relative energy among the computed polymorphs: 0.1104 eV/atom
size of the total moment: 0.00 μB/f.u.

=====

Entry 4:
## KRb2BeCl6 (PBE)

Data for crystalline KRb2BeCl6 at its relaxed geometry.

a = 10.543 Å, b = 10.543 Å, c = 10.543 Å
α = 90.00°, β = 90.00°, γ = 90.00°
Space group Fm-3m (No. 225)
One atom of each set of equivalent atoms:
1 K 0.000 0.000 0.000
2 Rb 0.250 0.250 0.250
3 Be 0.000 0.000 0.500
4 Cl 0.000 0.000 0.284

Properties
N(E_F): 41.009 states/eV/cell
size of the total moment: 1.00 μB/f.u.
raw total energy: -3.202 eV per atom

=====

Entry 5:
## InNiPd3 (PBE)

Data for crystalline InNiPd3 at its relaxed geometry.

a = 4.602 Å, b = 4.602 Å, c = 4.602 Å
α = 90.00°, β = 90.00°, γ = 90.00°
Space group Pm-3m (No. 221)
One atom of each set of equivalent atoms:
1 In 0.000 0.000 0.000
2 Ni 0.500 0.500 0.500
3 Pd 0.000 0.500 0.500

Properties
N(E_F): 6.583 states/eV/cell
relative energy among the computed polymorphs: 0.0000 eV/atom
ΔH_f (0 K): 457 meV/atom
size of the total moment: 0.87 μB/f.u.

=====

Entry 6:
## Th6PaN8 (PBE)

Data for crystalline Th6PaN8 at its relaxed geometry.

a = 10.279 Å, b = 10.279 Å, c = 10.279 Å
α = 90.00°, β = 90.00°, γ = 90.00°
Space group Fm-3m (No. 225)
One atom of each set of equivalent atoms:
1 Th 0.000 0.250 0.250
2 Pa 0.000 0.000 0.000
3 N 0.000 0.000 0.225
4 N 0.250 0.250 0.250

Properties
N(E_F): 35.816 states/eV/cell
size of the total moment: 0.00 μB/f.u.
raw total energy: -9.519 eV per atom

=====

Repeat the sixth record exactly.
## Th6PaN8 (PBE)

Data for crystalline Th6PaN8 at its relaxed geometry.

a = 10.279 Å, b = 10.279 Å, c = 10.279 Å
α = 90.00°, β = 90.00°, γ = 90.00°
Space group Fm-3m (No. 225)
One atom of each set of equivalent atoms:
1 Th 0.000 0.250 0.250
2 Pa 0.000 0.000 0.000
3 N 0.000 0.000 0.225
4 N 0.250 0.250 0.250

Properties
N(E_F): 35.816 states/eV/cell
size of the total moment: 0.00 μB/f.u.
raw total energy: -9.519 eV per atom